No. 1
Computed, not measured: a relaxed structure of EuAlAg2 at the PBE level of DFT.

For the density of states at the Fermi level, the calculation gives 1.26 states/eV per atom. The calculation puts the energy of formation at -0.10 eV/atom. As for the crystal system: tetragonal.

The structure belongs to space group P4/mmm (No. 123); the cell edges are 3.273, 3.273 and 7.869 Å and the angles 90.00°, 90.00° and 90.00°. Symmetry generates all atoms from Eu at (0.000, 0.000, 0.000), Al at (0.000, 0.000, 0.500) and Ag at (0.500, 0.500, 0.302).

=====

No. 2
Computed, not measured: a relaxed structure of Eu2Al3Ag at the PBE level of DFT.

For the density of states at the Fermi level, the calculation gives 1.05 states/eV per atom. The calculation puts the energy of formation at -0.36 eV/atom. As for the crystal system: trigonal.

The structure belongs to space group R-3m (No. 166, hexagonal axes); the cell edges are 5.7379, 5.7379 and 13.9844 Å and the angles 90.00°, 90.00° and 120.00°. Symmetry generates all atoms from Eu at (0.0000, 0.0000, 0.1221), Al at (0.0000, 0.5000, 0.0000) and Ag at (0.0000, 0.0000, 0.5000).

=====

No. 3
Computed, not measured: a relaxed structure of EuAl3Ag2 at the PBE level of DFT.

For the density of states at the Fermi level, the calculation gives 1.98 states/eV per atom. The calculation puts the energy of formation at -0.32 eV/atom. As for the crystal system: hexagonal.

The structure belongs to space group P6/mmm (No. 191); the cell edges are 5.5936, 5.5936 and 4.4290 Å and the angles 90.00°, 90.00° and 120.00°. Symmetry generates all atoms from Eu at (0.0000, 0.0000, 0.0000), Al at (0.0000, 0.5000, 0.5000) and Ag at (0.3333, 0.6667, 0.0000).

=====

No. 4
Computed, not measured: a relaxed structure of EuAl4Ag at the PBE level of DFT.

For the density of states at the Fermi level, the calculation gives 0.50 states/eV per atom. The calculation puts the energy of formation at -0.09 eV/atom. As for the crystal system: cubic.

The structure belongs to space group F-43m (No. 216); the cell edges are 7.868, 7.868 and 7.868 Å and the angles 90.00°, 90.00° and 90.00°. Symmetry generates all atoms from Eu at (0.000, 0.000, 0.000), Al at (0.126, 0.126, 0.374) and Ag at (0.250, 0.250, 0.750).

=====

No. 5
Computed, not measured: a relaxed structure of EuAlGaAg at the PBE level of DFT.

For the density of states at the Fermi level, the calculation gives 0.45 states/eV per atom. The calculation puts the energy of formation at -0.27 eV/atom. As for the crystal system: cubic.

The structure belongs to space group F-43m (No. 216); the cell edges are 6.954, 6.954 and 6.954 Å and the angles 90.00°, 90.00° and 90.00°. Symmetry generates all atoms from Eu at (0.000, 0.000, 0.000), Al at (0.000, 0.000, 0.500), Ga at (0.250, 0.250, 0.250) and Ag at (0.250, 0.250, 0.750).

=====

No. 6
Computed, not measured: a relaxed structure of EuGdAlAg at the PBE level of DFT.

For the density of states at the Fermi level, the calculation gives 1.93 states/eV per atom. The calculation puts the energy of formation at -0.27 eV/atom. As for the crystal system: cubic.

The structure belongs to space group F-43m (No. 216); the cell edges are 7.472, 7.472 and 7.472 Å and the angles 90.00°, 90.00° and 90.00°. Symmetry generates all atoms from Eu at (0.000, 0.000, 0.000), Gd at (0.000, 0.000, 0.500), Al at (0.250, 0.250, 0.250) and Ag at (0.250, 0.250, 0.750).

=====

No. 7
Computed, not measured: a relaxed structure of EuHoAlAg at the PBE level of DFT.

For the density of states at the Fermi level, the calculation gives 2.17 states/eV per atom. The calculation puts the energy of formation at -0.26 eV/atom. As for the crystal system: cubic.

The structure belongs to space group F-43m (No. 216); the cell edges are 7.412, 7.412 and 7.412 Å and the angles 90.00°, 90.00° and 90.00°. Symmetry generates all atoms from Eu at (0.000, 0.000, 0.000), Ho at (0.000, 0.000, 0.500), Al at (0.250, 0.250, 0.750) and Ag at (0.250, 0.250, 0.250).

=====

No. 8
Computed, not measured: a relaxed structure of EuAlInAg at the PBE level of DFT.

For the density of states at the Fermi level, the calculation gives 0.45 states/eV per atom. The calculation puts the energy of formation at -0.22 eV/atom. As for the crystal system: cubic.

The structure belongs to space group F-43m (No. 216); the cell edges are 7.148, 7.148 and 7.148 Å and the angles 90.00°, 90.00° and 90.00°. Symmetry generates all atoms from Eu at (0.000, 0.000, 0.000), Al at (0.250, 0.250, 0.750), In at (0.000, 0.000, 0.500) and Ag at (0.250, 0.250, 0.250).

=====

No. 9
Computed, not measured: a relaxed structure of EuLuAlAg at the PBE level of DFT.

For the density of states at the Fermi level, the calculation gives 2.02 states/eV per atom. The calculation puts the energy of formation at -0.25 eV/atom. As for the crystal system: cubic.

The structure belongs to space group F-43m (No. 216); the cell edges are 7.351, 7.351 and 7.351 Å and the angles 90.00°, 90.00° and 90.00°. Symmetry generates all atoms from Eu at (0.000, 0.000, 0.000), Lu at (0.000, 0.000, 0.500), Al at (0.250, 0.250, 0.750) and Ag at (0.250, 0.250, 0.250).

=====

No. 10
Computed, not measured: a relaxed structure of NdEuAlAg at the PBE level of DFT.

For the density of states at the Fermi level, the calculation gives 2.45 states/eV per atom. The calculation puts the energy of formation at -0.25 eV/atom. As for the crystal system: cubic.

The structure belongs to space group F-43m (No. 216); the cell edges are 7.563, 7.563 and 7.563 Å and the angles 90.00°, 90.00° and 90.00°. Symmetry generates all atoms from Nd at (0.000, 0.000, 0.000), Eu at (0.000, 0.000, 0.500), Al at (0.250, 0.250, 0.250) and Ag at (0.250, 0.250, 0.750).

=====

No. 11
Computed, not measured: a relaxed structure of PrEuAlAg at the PBE level of DFT.

For the density of states at the Fermi level, the calculation gives 2.47 states/eV per atom. The calculation puts the energy of formation at -0.25 eV/atom. As for the crystal system: cubic.

The structure belongs to space group F-43m (No. 216); the cell edges are 7.594, 7.594 and 7.594 Å and the angles 90.00°, 90.00° and 90.00°. Symmetry generates all atoms from Pr at (0.000, 0.000, 0.000), Eu at (0.000, 0.000, 0.500), Al at (0.250, 0.250, 0.250) and Ag at (0.250, 0.250, 0.750).

=====

No. 12
Computed, not measured: a relaxed structure of TbEuAlAg at the PBE level of DFT.

For the density of states at the Fermi level, the calculation gives 2.11 states/eV per atom. The calculation puts the energy of formation at -0.26 eV/atom. As for the crystal system: cubic.

The structure belongs to space group F-43m (No. 216); the cell edges are 7.446, 7.446 and 7.446 Å and the angles 90.00°, 90.00° and 90.00°. Symmetry generates all atoms from Tb at (0.000, 0.000, 0.000), Eu at (0.000, 0.000, 0.500), Al at (0.250, 0.250, 0.750) and Ag at (0.250, 0.250, 0.250).